w) Here is a geometry-optimized Nb2VAu structure from Alexandria. Energies are from GGA-PBE.

```
data_Nb2VAu
_cell_length_a 2.785
_cell_length_b 4.632
_cell_length_c 10.650
_cell_angle_alpha 89.99
_cell_angle_beta 84.21
_cell_angle_gamma 89.90
_space_group_name_H-M_alt 'P -1'
_space_group_IT_number 2
_space_group_name_Hall '-P 1'
loop_
_atom_site_label
_atom_site_fract_x
_atom_site_fract_y
_atom_site_fract_z
Nb1 0.079 0.250 0.310
Nb2 0.365 0.750 0.427
V1 0.145 0.251 0.817
Au1 0.435 0.750 0.931
```

N(E_F) in states/eV/cell: 8.2


x) Here is a geometry-optimized Nb2VAu structure from Alexandria. Energies are from GGA-PBE.

```
data_Nb2VAu
_cell_length_a 2.7943
_cell_length_b 2.7943
_cell_length_c 32.0996
_cell_angle_alpha 90.00
_cell_angle_beta 90.00
_cell_angle_gamma 120.00
_space_group_name_H-M_alt 'R -3 m'
_space_group_IT_number 166
_space_group_name_Hall '-R 3 2"'
loop_
_atom_site_label
_atom_site_fract_x
_atom_site_fract_y
_atom_site_fract_z
Nb1 0.0000 0.0000 0.0904
V1 0.0000 0.0000 0.5000
Au1 0.0000 0.0000 0.0000
```

N(E_F) in states/eV/cell: 16.1


Stability comparison, relative energies in eV/atom: w) 0.000; x) 0.407


w) Here is a geometry-optimized Nb2VAu structure from Alexandria. Energies are from GGA-PBE.

```
data_Nb2VAu
_cell_length_a 4.042
_cell_length_b 4.042
_cell_length_c 4.162
_cell_angle_alpha 90.00
_cell_angle_beta 90.00
_cell_angle_gamma 90.00
_space_group_name_H-M_alt 'P 4/m m m'
_space_group_IT_number 123
_space_group_name_Hall '-P 4 2'
loop_
_atom_site_label
_atom_site_fract_x
_atom_site_fract_y
_atom_site_fract_z
Nb1 0.000 0.500 0.000
V1 0.000 0.000 0.500
Au1 0.500 0.500 0.500
```

N(E_F) in states/eV/cell: 5.1


x) Here is a geometry-optimized Nb2VAu structure from Alexandria. Energies are from GGA-PBE.

```
data_Nb2VAu
_cell_length_a 3.864
_cell_length_b 3.864
_cell_length_c 19.789
_cell_angle_alpha 90.00
_cell_angle_beta 90.00
_cell_angle_gamma 90.00
_space_group_name_H-M_alt 'I -4 2 d'
_space_group_IT_number 122
_space_group_name_Hall 'I -4 2bw'
loop_
_atom_site_label
_atom_site_fract_x
_atom_site_fract_y
_atom_site_fract_z
Nb1 0.240 0.250 0.125
V1 0.000 0.000 0.000
Au1 0.000 0.000 0.500
```

N(E_F) in states/eV/cell: 17.5


Stability comparison, relative energies in eV/atom: w) 0.000; x) 0.495